Here is a geometry-optimized Gd4In20Ni11 structure from OQMD. Energies are from PBE-GGA.

a b c (Å): 11.5521 11.5521 16.6607
angles (deg): 123.89 123.89 21.74
With the nearest neighbours (Å) after each atom.
Positions (direct):
Ni: 0.3474 0.3474 0.6207  7 In 2.70-2.76
In: 0.2462 0.2462 0.7906  3 Ni 2.66-2.69, 1 In 2.96
Ni: 0.8650 0.8650 0.3975  7 In 2.67-2.82
Gd: 0.8813 0.8813 0.1681  4 Ni 3.15-3.34, 10 In 3.16-3.43
Gd: 0.1187 0.1187 0.8319  4 Ni 3.15-3.34, 10 In 3.16-3.43
Ni: 0.6526 0.6526 0.3793  7 In 2.70-2.76
In: 0.8852 0.8852 0.9486  3 Ni 2.64-2.67
Ni: 0.9776 0.9776 0.9003  3 Ni 2.61-2.87, 7 In 2.64-2.76
Ni: 0.2528 0.2528 0.1166  7 In 2.66-2.74
In: 0.6019 0.6019 0.4921  4 Ni 2.64-2.70
Ni: 0.0224 0.0224 0.0997  3 Ni 2.61-2.87, 7 In 2.64-2.76
Ni: 0.7472 0.7472 0.8834  7 In 2.66-2.74
Gd: 0.2285 0.2285 0.3248  10 In 3.17-3.47, 4 Ni 3.21-3.40
Ni: 0.5058 0.5058 0.6940  7 In 2.64-2.79
Ni: 0.5000 0.5000 0.0000  4 Ni 2.61, 4 In 2.67-2.71
In: 0.7538 0.7538 0.2094  3 Ni 2.66-2.69, 1 In 2.96
In: 0.5406 0.5406 0.8777  4 Ni 2.67-2.75, 1 In 2.95
Gd: 0.7715 0.7715 0.6752  10 In 3.17-3.47, 4 Ni 3.21-3.40
In: 0.9906 0.9906 0.4049  4 Ni 2.76-3.05, 3 In 2.95-3.01
Ni: 0.4942 0.4942 0.3060  7 In 2.64-2.79
In: 0.0639 0.0639 0.2900  5 Ni 2.75-2.79
In: 0.2969 0.2969 0.9980  3 Ni 2.67-2.69, 1 In 2.96
In: 0.4594 0.4594 0.1223  4 Ni 2.67-2.75, 1 In 2.95
In: 0.0094 0.0094 0.5951  4 Ni 2.76-3.05, 3 In 2.95-3.01
In: 0.3724 0.3724 0.3039  4 Ni 2.74
In: 0.6276 0.6276 0.6961  4 Ni 2.74
In: 0.1148 0.1148 0.0514  3 Ni 2.64-2.67
In: 0.6112 0.6112 0.1907  4 Ni 2.71-2.76, 1 In 2.95
In: 0.7980 0.7980 0.4971  4 Ni 2.72-2.82
In: 0.9361 0.9361 0.7100  5 Ni 2.75-2.79
Ni: 0.1350 0.1350 0.6025  7 In 2.67-2.82
In: 0.7031 0.7031 0.0020  3 Ni 2.67-2.69, 1 In 2.96
In: 0.3888 0.3888 0.8093  4 Ni 2.71-2.76, 1 In 2.95
In: 0.2020 0.2020 0.5029  4 Ni 2.72-2.82
In: 0.3981 0.3981 0.5079  4 Ni 2.64-2.70

Properties
Volume, Å³/cell: 678
DFT total energy, eV per atom: -4.1479
Magnetization, Bohr magnetons per cell: 0.0



Here is a geometry-optimized Fe2BMo structure from OQMD. Energies are from PBE-GGA.

a b c (Å): 3.9671 3.9671 3.9671
angles (deg): 60.00 60.00 60.00
With the nearest neighbours (Å) after each atom.
Positions (direct):
Mo: 0.2500 0.2500 0.2500  4 B 2.43, 4 Fe 2.43
Fe: 0.0000 0.0000 0.0000  4 Mo 2.43, 4 Fe 2.43
B: 0.5000 0.5000 0.5000  4 Mo 2.43, 4 Fe 2.43
Fe: 0.7500 0.7500 0.7500  4 Fe 2.43, 4 B 2.43

Properties
Volume, Å³/cell: 44
DFT total energy, eV per atom: -8.3425
Magnetization, Bohr magnetons per cell: 3.6



Here is a geometry-optimized LiMg2Pd structure from OQMD. Energies are from PBE-GGA.

a b c (Å): 3.2685 3.2685 6.6424
angles (deg): 90.00 90.00 90.00
With the nearest neighbours (Å) after each atom.
Positions (direct):
Mg: 0.5000 0.5000 0.2747  4 Pd 2.75, 4 Li 2.94, 1 Mg 2.99
Pd: 0.0000 0.0000 0.5000  8 Mg 2.75
Li: 0.0000 0.0000 0.0000  8 Mg 2.94, 4 Li 3.27
Mg: 0.5000 0.5000 0.7253  4 Pd 2.75, 4 Li 2.94, 1 Mg 2.99

Properties
Volume, Å³/cell: 71
DFT total energy, eV per atom: -2.9628
Offset from the most stable computed form, eV per formula unit: 0.24



Here is a geometry-optimized Li4PaBiO6 structure from OQMD. Energies are from PBE-GGA.

a b c (Å): 5.7071 5.7071 5.3504
angles (deg): 99.53 99.53 120.64
With the nearest neighbours (Å) after each atom.
Positions (direct):
Bi: 0.8306 0.1694 0.0000  6 O 2.35-2.39
O: 0.5553 0.8985 0.2522  3 Li 2.19-2.36, 1 Pa 2.21, 1 Bi 2.37
Li: 0.5009 0.4991 0.0000  6 O 2.16-2.30
O: 0.1015 0.4447 0.7478  3 Li 2.19-2.36, 1 Pa 2.21, 1 Bi 2.37
Li: 0.9969 0.0031 0.5000  6 O 2.20-2.36
O: 0.4027 0.0968 0.7646  3 Li 2.16-2.31, 1 Pa 2.19, 1 Bi 2.35
Li: 0.3772 0.6228 0.5000  4 O 2.06-2.19
Pa: 0.1663 0.8337 0.0000  6 O 2.19-2.23
Li: 0.6456 0.3544 0.5000  4 O 2.08-2.31
O: 0.9032 0.5973 0.2354  3 Li 2.16-2.31, 1 Pa 2.19, 1 Bi 2.35
O: 0.2562 0.2364 0.2574  4 Li 2.06-2.30, 1 Pa 2.23
O: 0.7636 0.7438 0.7426  4 Li 2.06-2.30, 1 Pa 2.23

Properties
Volume, Å³/cell: 141
DFT total energy, eV per atom: -6.2560
Magnetization, Bohr magnetons per cell: 0.0



Here is a geometry-optimized Ba2Os2O5 structure from OQMD. Energies are from PBE-GGA.

a b c (Å): 11.0310 3.4992 3.4992
angles (deg): 90.00 90.00 90.00
With the nearest neighbours (Å) after each atom.
Positions (direct):
O: 0.8989 0.5000 0.0000  2 Os 2.07, 1 O 2.23
Ba: 0.7336 0.5000 0.5000  5 O 2.53-2.58
O: 0.8989 0.0000 0.5000  2 Os 2.07, 1 O 2.23
Os: 0.5000 0.0000 0.0000  4 O 2.47
Ba: 0.2664 0.5000 0.5000  5 O 2.53-2.58
O: 0.1011 0.0000 0.5000  2 Os 2.07, 1 O 2.23
O: 0.5000 0.5000 0.5000  4 Os 2.47, 2 Ba 2.58
O: 0.1011 0.5000 0.0000  2 Os 2.07, 1 O 2.23
Os: 0.0000 0.0000 0.0000  8 O 2.07

Properties
Volume, Å³/cell: 135
DFT total energy, eV per atom: -6.3000
Offset from the most stable computed form, eV per formula unit: 7.28
Magnetization, Bohr magnetons per cell: 1.7



Here is a geometry-optimized CdCo structure from OQMD. Energies are from PBE-GGA.

a b c (Å): 8.0488 8.0488 8.0488
angles (deg): 60.00 60.00 60.00
With the nearest neighbours (Å) after each atom.
Positions (direct):
Cd: 0.5546 0.9454 0.9454  6 Co 2.81-2.87, 4 Cd 2.98
Co: 0.2293 0.9236 0.9236  6 Co 2.42-2.46
Cd: 0.5546 0.9454 0.5546  6 Co 2.81-2.87, 4 Cd 2.98
Cd: 0.3046 0.6954 0.3046  6 Co 2.81-2.87, 4 Cd 2.98
Co: 0.1250 0.1250 0.1250  6 Co 2.42
Co: 0.0207 0.3264 0.3264  6 Co 2.42-2.46
Cd: 0.3046 0.6954 0.6954  6 Co 2.81-2.87, 4 Cd 2.98
Co: 0.3264 0.3264 0.0207  6 Co 2.42-2.46
Cd: 0.6954 0.3046 0.3046  6 Co 2.81-2.87, 4 Cd 2.98
Cd: 0.9454 0.5546 0.9454  6 Co 2.81-2.87, 4 Cd 2.98
Co: 0.9236 0.9236 0.2293  6 Co 2.42-2.46
Co: 0.1250 0.6250 0.1250  6 Co 2.42
Co: 0.3264 0.0207 0.3264  6 Co 2.42-2.46
Co: 0.3264 0.3264 0.3264  6 Co 2.42-2.46
Co: 0.6250 0.1250 0.1250  6 Co 2.42
Cd: 0.6954 0.3046 0.6954  6 Co 2.81-2.87, 4 Cd 2.98
Cd: 0.3046 0.3046 0.6954  6 Co 2.81-2.87, 4 Cd 2.98
Cd: 0.9454 0.5546 0.5546  6 Co 2.81-2.87, 4 Cd 2.98
Cd: 0.6954 0.6954 0.3046  6 Co 2.81-2.87, 4 Cd 2.98
Co: 0.1250 0.1250 0.6250  6 Co 2.42
Cd: 0.9454 0.9454 0.5546  6 Co 2.81-2.87, 4 Cd 2.98
Co: 0.9236 0.2293 0.9236  6 Co 2.42-2.46
Cd: 0.5546 0.5546 0.9454  6 Co 2.81-2.87, 4 Cd 2.98
Co: 0.9236 0.9236 0.9236  6 Co 2.42-2.46

Properties
Volume, Å³/cell: 369
DFT total energy, eV per atom: -3.8878
ΔH_f (0 K), meV/atom: 113
Magnetization, Bohr magnetons per cell: 16.7



Here is a geometry-optimized KDyBeTe3 structure from OQMD. Energies are from PBE-GGA.

a b c (Å): 8.2453 8.2453 11.6330
angles (deg): 90.00 90.00 149.97
With the nearest neighbours (Å) after each atom.
Positions (direct):
Te: 0.3744 0.6256 0.4236  1 Be 2.48
Te: 0.3744 0.6256 0.0764  1 Be 2.48
Dy: 0.0000 0.0000 0.5000  6 Te 3.06-3.07
Te: 0.0613 0.9387 0.2500  2 Be 2.64
Be: 0.5358 0.4642 0.7500  4 Te 2.48-2.64
Dy: 0.0000 0.0000 0.0000  6 Te 3.06-3.07
Te: 0.6256 0.3744 0.9236  1 Be 2.48
Be: 0.4642 0.5358 0.2500  4 Te 2.48-2.64
Te: 0.9387 0.0613 0.7500  2 Be 2.64
K: 0.7460 0.2540 0.2500  6 Te 3.58-3.64
Te: 0.6256 0.3744 0.5764  1 Be 2.48
K: 0.2540 0.7460 0.7500  6 Te 3.58-3.64

Properties
Volume, Å³/cell: 396
DFT total energy, eV per atom: -4.1547
Magnetization, Bohr magnetons per cell: 0.0



Here is a geometry-optimized Y2Ga4AgPd structure from OQMD. Energies are from PBE-GGA.

a b c (Å): 6.6046 5.6088 5.6088
angles (deg): 47.24 90.00 90.00
With the nearest neighbours (Å) after each atom.
Positions (direct):
Ga: 0.6941 0.8770 0.8770  2 Ga 2.56-2.63, 2 Pd 2.71, 1 Ag 2.71
Y: 0.5000 0.5879 0.5879  3 Pd 2.97-3.12, 6 Ga 3.01-3.24
Ag: 0.0000 0.7013 0.7013  6 Ga 2.71-2.73, 1 Y 3.00
Y: 0.0000 0.4097 0.4097  3 Ag 3.00-3.10, 6 Ga 3.04-3.22
Ga: 0.2014 0.1241 0.1241  2 Ga 2.63-2.66, 1 Pd 2.67, 2 Ag 2.73
Ga: 0.3059 0.8770 0.8770  2 Ga 2.56-2.63, 2 Pd 2.71, 1 Ag 2.71
Ga: 0.7986 0.1241 0.1241  2 Ga 2.63-2.66, 1 Pd 2.67, 2 Ag 2.73
Pd: 0.5000 0.2990 0.2990  6 Ga 2.67-2.71, 1 Y 2.97

Properties
Volume, Å³/cell: 153
DFT total energy, eV per atom: -4.7777
Magnetization, Bohr magnetons per cell: 0.0



Here is a geometry-optimized LuFeGe2 structure from OQMD. Energies are from PBE-GGA.

a b c (Å): 4.5702 4.5702 4.5702
angles (deg): 60.00 60.00 60.00
With the nearest neighbours (Å) after each atom.
Positions (direct):
Lu: 0.5000 0.5000 0.5000  4 Fe 2.80, 4 Ge 2.80
Fe: 0.2500 0.2500 0.2500  4 Ge 2.80, 4 Lu 2.80
Ge: 0.0000 0.0000 0.0000  4 Fe 2.80, 4 Ge 2.80
Ge: 0.7500 0.7500 0.7500  4 Ge 2.80, 4 Lu 2.80

Properties
Volume, Å³/cell: 67
DFT total energy, eV per atom: -5.4643
Magnetization, Bohr magnetons per cell: 1.0



Here is a geometry-optimized TmSiAg structure from OQMD. Energies are from PBE-GGA.

a b c (Å): 6.9563 6.9563 4.1426
angles (deg): 90.00 90.00 120.00
With the nearest neighbours (Å) after each atom.
Positions (direct):
Ag: 0.0000 0.2507 0.0000  4 Si 2.65-2.71
Si: 0.6667 0.3333 0.0000  3 Ag 2.65, 6 Tm 2.94
Tm: 0.5801 0.0000 0.5000  5 Si 2.92-2.94, 2 Ag 3.09
Si: 0.3333 0.6667 0.0000  3 Ag 2.65, 6 Tm 2.94
Si: 0.0000 0.0000 0.5000  6 Ag 2.71, 3 Tm 2.92
Ag: 0.7493 0.7493 0.0000  4 Si 2.65-2.71
Tm: 0.4199 0.4199 0.5000  5 Si 2.92-2.94, 2 Ag 3.09
Ag: 0.2507 0.0000 0.0000  4 Si 2.65-2.71
Tm: 0.0000 0.5801 0.5000  5 Si 2.92-2.94, 2 Ag 3.09

Properties
Volume, Å³/cell: 174
DFT total energy, eV per atom: -4.8308
Magnetization, Bohr magnetons per cell: 0.0



Here is a geometry-optimized ZrIn structure from OQMD. Energies are from PBE-GGA.

a b c (Å): 3.2231 3.2232 5.1461
angles (deg): 90.00 90.00 120.00
With the nearest neighbours (Å) after each atom.
Positions (direct):
In: 0.6666 0.3332 0.7500  6 Zr 3.17-3.18, 6 In 3.22
Zr: 0.3334 0.6668 0.2500  6 In 3.17-3.18, 6 Zr 3.22

Properties
Volume, Å³/cell: 46
DFT total energy, eV per atom: -5.8167
Magnetization, Bohr magnetons per cell: 0.1



Here is a geometry-optimized Lu2BiIr structure from OQMD. Energies are from PBE-GGA.

a b c (Å): 5.0399 5.0399 5.0399
angles (deg): 60.00 60.00 60.00
With the nearest neighbours (Å) after each atom.
Positions (direct):
Bi: 0.5000 0.5000 0.5000  4 Lu 3.09, 4 Ir 3.09
Ir: 0.2500 0.2500 0.2500  4 Bi 3.09, 4 Lu 3.09
Lu: 0.7500 0.7500 0.7500  4 Bi 3.09, 4 Lu 3.09
Lu: 0.0000 0.0000 0.0000  4 Lu 3.09, 4 Ir 3.09

Properties
Volume, Å³/cell: 91
DFT total energy, eV per atom: -5.6288
Magnetization, Bohr magnetons per cell: 0.0



What did the tenth record say?
Here is a geometry-optimized TmSiAg structure from OQMD. Energies are from PBE-GGA.

a b c (Å): 6.9563 6.9563 4.1426
angles (deg): 90.00 90.00 120.00
With the nearest neighbours (Å) after each atom.
Positions (direct):
Ag: 0.0000 0.2507 0.0000  4 Si 2.65-2.71
Si: 0.6667 0.3333 0.0000  3 Ag 2.65, 6 Tm 2.94
Tm: 0.5801 0.0000 0.5000  5 Si 2.92-2.94, 2 Ag 3.09
Si: 0.3333 0.6667 0.0000  3 Ag 2.65, 6 Tm 2.94
Si: 0.0000 0.0000 0.5000  6 Ag 2.71, 3 Tm 2.92
Ag: 0.7493 0.7493 0.0000  4 Si 2.65-2.71
Tm: 0.4199 0.4199 0.5000  5 Si 2.92-2.94, 2 Ag 3.09
Ag: 0.2507 0.0000 0.0000  4 Si 2.65-2.71
Tm: 0.0000 0.5801 0.5000  5 Si 2.92-2.94, 2 Ag 3.09

Properties
Volume, Å³/cell: 174
DFT total energy, eV per atom: -4.8308
Magnetization, Bohr magnetons per cell: 0.0



Among the records above, which one has the lowest DFT total energy? Fe2BMo



Which of these has the highest volume? Gd4In20Ni11



DFT total energy of number 5 (Ba2Os2O5)? -6.3000 eV per atom